VASP calculation (PBE-GGA) on a relaxed Sm2Y2CI3Br2 crystal.

Lattice parameters (Å, degrees): 9.5447 9.5447 8.5396 102.43 102.43 23.87
Atoms (fractional coordinates):
Sm 0.6362 0.6362 0.0723
Sm 0.3638 0.3638 0.9277
Y 0.0007 0.0007 0.8092
I 0.5000 0.5000 0.5000
Br 0.8438 0.8438 0.6671
C 0.5000 0.5000 0.0000
I 0.1700 0.1700 0.8109
Y 0.9993 0.9993 0.1908
I 0.8300 0.8300 0.1891
Br 0.1562 0.1562 0.3329

Calculated values
final energy = -5.20 eV per atom
symmetry = C2/m
relative energy among the computed polymorphs = 3.8 meV/atom